# Ac2SiPt3

A relaxed structure of Ac2SiPt3 (PBE-GGA, Alexandria).

a b c (Å): 4.233 4.408 15.665
angles (deg): 90.00 90.00 90.00
Space group Imm2 (No. 44)
Unique sites:
1 Ac 0.000 0.000 0.000 [2 per cell]
2 Ac 0.000 0.500 0.241 [2 per cell]
3 Si 0.000 0.000 0.407 [2 per cell]
4 Pt 0.000 0.000 0.560 [2 per cell]
5 Pt 0.000 0.500 0.665 [2 per cell]
6 Pt 0.000 0.500 0.840 [2 per cell]

Its energy relative to the lowest polymorph listed for this composition is 0 meV per atom. Its theoretical density is 12.12 g/cm3. The calculation puts the energy at -38.4 eV/f.u. Its crystal system is orthorhombic. The formation energy without anion corrections comes out at -1.112 eV per atom.

***

# BaCa3Pd

A relaxed structure of BaCa3Pd (PBE-GGA, Alexandria).

a b c (Å): 7.2615 7.2615 27.2397
angles (deg): 90.00 90.00 120.00
Space group R-3 (No. 148, hexagonal axes)
Unique sites:
1 Ba 0.0000 0.0000 0.1851 [6 per cell]
2 Ca 0.0145 0.6108 0.2820 [18 per cell]
3 Pd 0.0000 0.0000 0.3079 [6 per cell]

Its energy relative to the lowest polymorph listed for this composition is 104 meV per atom. The calculation puts the formation enthalpy at 0 K at -207 meV/atom. Its theoretical density is 2.92 g/cm3. The calculation puts the energy at -14.2 eV/f.u. Its crystal system is trigonal.

***

# KIn2Cu

A relaxed structure of KIn2Cu (PBE-GGA, Alexandria).

a b c (Å): 7.372 7.372 7.372
angles (deg): 90.00 90.00 90.00
Space group Fm-3m (No. 225)
Unique sites:
1 K 0.000 0.000 0.000 [4 per cell]
2 In 0.250 0.250 0.250 [8 per cell]
3 Cu 0.000 0.000 0.500 [4 per cell]

The calculation puts the formation enthalpy at 0 K at 268 meV/atom. Its theoretical density is 5.51 g/cm3. The calculation puts the energy at -9.6 eV/f.u. Its crystal system is cubic.

***

# DyErGeRu

A relaxed structure of DyErGeRu (PBE-GGA, Alexandria).

a b c (Å): 6.937 6.937 6.937
angles (deg): 90.00 90.00 90.00
Space group F-43m (No. 216)
Unique sites:
1 Dy 0.000 0.000 0.000 [4 per cell]
2 Er 0.000 0.000 0.500 [4 per cell]
3 Ge 0.250 0.250 0.250 [4 per cell]
4 Ru 0.250 0.250 0.750 [4 per cell]

Its energy relative to the lowest polymorph listed for this composition is 143 meV per atom. The calculation puts the formation enthalpy at 0 K at -494 meV/atom. Its theoretical density is 10.02 g/cm3. The calculation puts the energy at -25.0 eV/f.u. Its crystal system is cubic.